Record 1
Computed, not measured: a relaxed structure of LiGeSeO5 at the PBE-GGA level of DFT.

Its uncorrected formation energy is -1095.0 meV/atom. Its crystal system is monoclinic. The calculation puts the total energy at -5.446 eV per atom.

a b c (Å): 6.6718 8.8964 7.1441
angles (deg): 90.00 117.23 90.00
With the nearest neighbours (Å) after each atom.
Space group C2/c (No. 15)
Inequivalent atoms, fractional coordinates:
Li (0.0000, 0.2206, 0.2500)  3 O 1.96-2.19
Ge (0.0000, 0.5000, 0.0000)  6 O 1.86-2.00
Se (0.0000, 0.2050, 0.7500)  4 O 1.73-1.91
O (0.0000, 0.4413, 0.2500)  2 Ge 1.86, 1 Li 1.96
O (0.1327, 0.3019, 0.5945)  1 Se 1.91, 1 Ge 1.95
O (0.1922, 0.0801, 0.9270)  1 Se 1.73

=====

Record 2
Computed, not measured: a relaxed structure of NdAgO at the PBE-GGA level of DFT.

Its uncorrected formation energy is -1917.5 meV/atom. Its crystal system is tetragonal. The calculation puts the total energy at -6.110 eV per atom.

a b c (Å): 4.0101 4.0101 7.7215
angles (deg): 90.00 90.00 90.00
With the nearest neighbours (Å) after each atom.
Space group P4/nmm (No. 129, origin choice 2)
Inequivalent atoms, fractional coordinates:
Nd (0.2500, 0.2500, 0.1542)  4 O 2.33
Ag (0.2500, 0.2500, 0.5651)  4 Ag 3.01, 1 Nd 3.17
O (0.2500, 0.7500, 0.0000)  4 Nd 2.33

=====

Question: Which formula does entry 2 have?
Answer: NdAgO

=====

Question: Which formula does entry 2 have?
Answer: NdAgO